Below is an optimized crystal structure of CdRhAu2, with properties calculated at the PBE-GGA level. Values from VASP.

Results
Energy relative to the elements ... 2 kJ/mol of atoms
Spin magnetization ... 0.00 μB per formula unit
Space group ... Immm

Structure (Quantum ESPRESSO input):
```
&SYSTEM
  ibrav = 0, nat = 4, ntyp = 3
/
ATOMIC_SPECIES
Rh 102.91 Rh.upf
Au 196.97 Au.upf
Cd 112.41 Cd.upf
CELL_PARAMETERS angstrom
-3.684 2.224 3.366
-3.610 3.503 -2.133
1.965 -5.094 -0.210
ATOMIC_POSITIONS crystal
Rh 0.500 0.000 0.500
Au 0.254 0.254 0.000
Au 0.746 0.746 0.000
Cd 0.000 0.500 0.500
```

=====

Below is an optimized crystal structure of CdRhAu2, with properties calculated at the PBE-GGA level. Values from VASP.

Results
Energy relative to the elements ... 7 kJ/mol of atoms
Spin magnetization ... 0.67 μB per formula unit
Space group ... R-3m

Structure (Quantum ESPRESSO input):
```
&SYSTEM
  ibrav = 0, nat = 4, ntyp = 3
/
ATOMIC_SPECIES
Cd 112.41 Cd.upf
Au 196.97 Au.upf
Rh 102.91 Rh.upf
CELL_PARAMETERS angstrom
9.505 -1.465 -0.006
9.505 1.465 -0.006
9.281 0.000 2.521
ATOMIC_POSITIONS crystal
Cd 0.500 0.500 0.500
Au 0.253 0.253 0.253
Au 0.747 0.747 0.747
Rh 0.000 0.000 0.000
```

=====

Below is an optimized crystal structure of CdRhAu, with properties calculated at the PBE-GGA level. Values from VASP.

Results
Energy relative to the elements ... -1 kJ/mol of atoms
E above lowest polymorph ... 0 meV/atom
Spin magnetization ... 0.00 μB per formula unit
Space group ... I4mm

Structure (Quantum ESPRESSO input):
```
&SYSTEM
  ibrav = 0, nat = 3, ntyp = 3
/
ATOMIC_SPECIES
Cd 112.41 Cd.upf
Rh 102.91 Rh.upf
Au 196.97 Au.upf
CELL_PARAMETERS angstrom
0.000 2.116 5.819
2.114 0.000 5.819
2.114 2.116 0.000
ATOMIC_POSITIONS crystal
Cd 0.673 0.673 0.327
Rh 0.333 0.333 0.667
Au 0.994 0.994 0.006
```

=====

Below is an optimized crystal structure of CdRhAu2, with properties calculated at the PBE-GGA level. Values from VASP.

Results
Energy relative to the elements ... 3 kJ/mol of atoms
Spin magnetization ... 0.16 μB per formula unit
Space group ... P4/mmm

Structure (Quantum ESPRESSO input):
```
&SYSTEM
  ibrav = 0, nat = 4, ntyp = 3
/
ATOMIC_SPECIES
Au 196.97 Au.upf
Cd 112.41 Cd.upf
Rh 102.91 Rh.upf
CELL_PARAMETERS angstrom
2.194 -2.194 0.000
2.194 2.194 0.000
0.000 0.000 7.316
ATOMIC_POSITIONS crystal
Au 0.000 0.000 0.763
Au 0.000 0.000 0.237
Cd 0.500 0.500 0.500
Rh 0.500 0.500 0.000
```